Entry 1:
Computed, not measured: a geometry-optimized CoO2 structure at the GGA+U level of DFT.

- V: 32 Å³/f.u.
- Calculated total energy: -17.11 eV/f.u.

Unit cell a=6.859 b=6.859 c=6.859 alpha=92.52 beta=92.52 gamma=155.81
Element x y z (fractional)
Co (0.151, 0.334, 0.485)
Co (0.334, 0.849, 0.183)
Co (0.666, 0.151, 0.817)
Co (0.849, 0.666, 0.515)
O (0.041, 0.664, 0.705)
O (0.297, 0.655, 0.953)
O (0.336, 0.041, 0.378)
O (0.345, 0.297, 0.642)
O (0.655, 0.703, 0.358)
O (0.664, 0.959, 0.622)
O (0.703, 0.345, 0.047)
O (0.959, 0.336, 0.295)

=====

Entry 2:
Computed, not measured: a geometry-optimized CoO structure at the GGA+U level of DFT.

- V: 22 Å³/f.u.
- Calculated total energy: -11.22 eV/f.u.

Unit cell a=5.115 b=5.115 c=5.115 alpha=98.05 beta=98.05 gamma=136.04
Element x y z (fractional)
Co (0.091, 0.723, 0.814)
Co (0.277, 0.091, 0.368)
Co (0.723, 0.909, 0.632)
Co (0.909, 0.277, 0.186)
O (0.180, 0.363, 0.543)
O (0.363, 0.820, 0.183)
O (0.637, 0.180, 0.817)
O (0.820, 0.637, 0.457)

=====

Entry 3:
Computed, not measured: a geometry-optimized CoO2 structure at the GGA+U level of DFT.

- V: 47 Å³/f.u.
- D(E_F): 1.40 states/eV/cell
- Calculated total energy: -13.44 eV/f.u.

Unit cell a=3.025 b=3.025 c=11.864 alpha=90.00 beta=90.00 gamma=120.00
Element x y z (fractional)
Co (0.333, 0.667, 0.250)
Co (0.667, 0.333, 0.750)
O (0.333, 0.667, 0.118)
O (0.333, 0.667, 0.382)
O (0.667, 0.333, 0.618)
O (0.667, 0.333, 0.882)

=====

Entry 4:
Computed, not measured: a geometry-optimized CoO2 structure at the GGA+U level of DFT.

- V: 36 Å³/f.u.
- Calculated total energy: -17.06 eV/f.u.

Unit cell a=10.490 b=10.490 c=10.490 alpha=15.54 beta=15.54 gamma=15.54
Element x y z (fractional)
Co (0.000, 0.000, 0.000)
Co (0.500, 0.500, 0.500)
O (0.136, 0.136, 0.136)
O (0.303, 0.303, 0.303)
O (0.697, 0.697, 0.697)
O (0.864, 0.864, 0.864)

=====

Entry 5:
Computed, not measured: a geometry-optimized Co9O13 structure at the GGA+U level of DFT.

- V: 236 Å³/f.u.
- D(E_F): 3.10 states/eV/cell
- Calculated total energy: -127.15 eV/f.u.

Unit cell a=4.960 b=4.960 c=17.464 alpha=98.30 beta=98.30 gamma=33.69
Element x y z (fractional)
Co (0.000, 0.000, 0.000)
Co (0.145, 0.145, 0.537)
Co (0.248, 0.248, 0.915)
Co (0.447, 0.447, 0.630)
Co (0.478, 0.478, 0.822)
Co (0.522, 0.522, 0.178)
Co (0.553, 0.553, 0.370)
Co (0.752, 0.752, 0.085)
Co (0.855, 0.855, 0.463)
O (0.075, 0.075, 0.630)
O (0.110, 0.110, 0.105)
O (0.121, 0.121, 0.832)
O (0.219, 0.219, 0.438)
O (0.372, 0.372, 0.022)
O (0.389, 0.389, 0.730)
O (0.500, 0.500, 0.500)
O (0.611, 0.611, 0.270)
O (0.628, 0.628, 0.978)
O (0.781, 0.781, 0.562)
O (0.879, 0.879, 0.168)
O (0.890, 0.890, 0.895)
O (0.925, 0.925, 0.370)

=====

Entry 6:
Computed, not measured: a geometry-optimized CoO structure at the GGA+U level of DFT.

- V: 32 Å³/f.u.
- Calculated total energy: -11.81 eV/f.u.

Unit cell a=6.882 b=5.597 c=5.563 alpha=76.14 beta=52.15 gamma=51.70
Element x y z (fractional)
Co (0.022, 0.022, 0.728)
Co (0.272, 0.272, 0.978)
Co (0.728, 0.728, 0.022)
Co (0.978, 0.978, 0.272)
O (0.024, 0.726, 0.024)
O (0.274, 0.976, 0.274)
O (0.726, 0.024, 0.726)
O (0.976, 0.274, 0.976)

=====

Entry 7:
Computed, not measured: a geometry-optimized CoO8 structure at the GGA+U level of DFT.

- V: 148 Å³/f.u.
- D(E_F): 3.78 states/eV/cell
- Calculated total energy: -37.75 eV/f.u.

Unit cell a=6.244 b=6.244 c=6.244 alpha=96.81 beta=96.81 gamma=139.70
Element x y z (fractional)
Co (0.000, 0.000, 0.000)
O (0.000, 0.426, 0.426)
O (0.000, 0.574, 0.574)
O (0.395, 0.395, 0.791)
O (0.395, 0.605, 0.000)
O (0.426, 0.000, 0.426)
O (0.574, 0.000, 0.574)
O (0.605, 0.395, 0.000)
O (0.605, 0.605, 0.209)

=====

Entry 8:
Computed, not measured: a geometry-optimized CoO structure at the GGA+U level of DFT.

- V: 25 Å³/f.u.
- D(E_F): 0.00 states/eV/cell
- Calculated total energy: -12.07 eV/f.u.

Unit cell a=3.282 b=3.282 c=10.584 alpha=90.00 beta=90.00 gamma=120.00
Element x y z (fractional)
Co (0.000, 0.000, 0.000)
Co (0.000, 0.000, 0.500)
Co (0.333, 0.667, 0.251)
Co (0.667, 0.333, 0.751)
O (0.000, 0.000, 0.190)
O (0.000, 0.000, 0.690)
O (0.333, 0.667, 0.440)
O (0.667, 0.333, 0.940)